VASP calculation (GGA-PBE) on an optimized crystal structure of CsCI2Cl.

The space group is P4/mmm (No. 123) and the conventional cell measures 7.121, 7.121 and 5.150 Å, with angles of 90.00, 90.00 and 90.00 degrees. Symmetry generates all atoms from Cs at (0.000, 0.000, 0.000), C at (0.000, 0.000, 0.500), I at (0.000, 0.500, 0.000) and Cl at (0.500, 0.500, 0.500).

Its density of states at the Fermi level is 22.62 states/eV per cell. The value obtained for the size of the total moment is 4.4 μB per formula unit. Its formation energy (no corrections) is 1465.0 meV per atom.